This record from the Alexandria database describes a relaxed structure of Li2MnSi3O8. The functional is PBE+U.

a b c (Å): 5.057 6.302 6.407
angles (deg): 76.89 73.96 72.94
Fractional coordinates of all 14 atoms:
Li 0.000 0.000 0.000
Li 0.498 0.655 0.747
Mn 0.339 0.627 0.242
Si 0.015 0.466 0.032
Si 0.061 0.117 0.450
Si 0.448 0.243 0.662
O 0.037 0.372 0.298
O 0.081 0.939 0.303
O 0.139 0.686 0.967
O 0.234 0.246 0.910
O 0.343 0.071 0.556
O 0.427 0.496 0.542
O 0.699 0.508 0.998
O 0.786 0.120 0.670

## Properties
M_tot = 5.0 μB per formula unit
Space-group type = P1 (1)
Energy relative to the lowest polymorph listed for this composition = 2 meV per atom